{"formula": "Au3Cl", "functional": "GGA-PBE", "state": "relaxed", "lattice_angstrom": [[2.972, 0.000, 0.000], [0.000, 4.551, 0.000], [0.000, 0.000, 12.117]], "species": ["Au", "Au", "Au", "Au", "Au", "Au", "Cl", "Cl"], "frac_coords": [[0.000, 0.000, 0.000], [0.000, 0.500, 0.279], [0.000, 0.500, 0.721], [0.500, 0.000, 0.221], [0.500, 0.000, 0.779], [0.500, 0.500, 0.500], [0.000, 0.000, 0.500], [0.500, 0.500, 0.000]], "total_energy_ev_per_atom": -2.6896, "polymorph_energy_mev_per_atom": 170, "raw_formation_energy_mev_per_atom": 230}